# 1
A relaxed MgPd5Au2 crystal, computed with PBE-GGA.

Output
**SG**: Pbam
**Calculated total energy**: -4.56 eV per atom

Lattice parameters (Å, degrees): 5.6464 11.2988 4.0112 90.00 90.00 90.00
Fractional positions:
Pd 0.7458 0.1238 0.5000
Pd 0.2542 0.8762 0.5000
Mg 0.0000 0.5000 0.0000
Pd 0.0033 0.7486 0.0000
Au 0.2528 0.6252 0.5000
Pd 0.5033 0.7514 0.0000
Pd 0.2458 0.3762 0.5000
Pd 0.5000 0.5000 0.0000
Pd 0.7542 0.6238 0.5000
Pd 0.9967 0.2514 0.0000
Au 0.2472 0.1252 0.5000
Mg 0.5000 0.0000 0.0000
Pd 0.0000 0.0000 0.0000
Au 0.7528 0.8748 0.5000
Pd 0.4967 0.2486 0.0000
Au 0.7472 0.3748 0.5000

# 2
A relaxed Mg2Pd3Au3 crystal, computed with PBE-GGA.

Output
**SG**: Pmmm
**Calculated total energy**: -4.11 eV per atom

Lattice parameters (Å, degrees): 4.0618 4.1016 7.9291 90.00 90.00 90.00
Fractional positions:
Pd 0.0000 0.5000 0.5000
Au 0.5000 0.5000 0.7453
Pd 0.5000 0.0000 0.0000
Au 0.5000 0.5000 0.2547
Pd 0.5000 0.0000 0.5000
Mg 0.0000 0.0000 0.7412
Mg 0.0000 0.0000 0.2588
Au 0.0000 0.5000 0.0000

# 3
A relaxed Pr3Mg3PdAu2 crystal, computed with PBE-GGA.

Output
**SG**: P-62m
**Calculated total energy**: -4.05 eV per atom

Lattice parameters (Å, degrees): 7.7980 7.7980 4.1734 90.00 90.00 120.00
Fractional positions:
Pr 0.0000 0.5883 0.5000
Mg 0.7647 0.7647 0.0000
Pd 0.0000 0.0000 0.5000
Mg 0.2353 0.0000 0.0000
Pr 0.5883 0.0000 0.5000
Au 0.3333 0.6667 0.0000
Au 0.6667 0.3333 0.0000
Mg 0.0000 0.2353 0.0000
Pr 0.4116 0.4116 0.5000

> What is the calculated total energy in the second record?

-4.11 eV per atom

> Which of these has the lowest calculated total energy?

MgPd5Au2